# Ba3LaW2N6 (PBE-GGA, relaxed)
data_Ba3LaW2N6
_chemical_formula_sum 'Ba3 La1 W2 N6'
_cell_length_a 6.3746
_cell_length_b 6.3746
_cell_length_c 7.5721
_cell_angle_alpha 90.00
_cell_angle_beta 90.00
_cell_angle_gamma 120.00
_space_group_name_H-M_alt 'P -3 m 1'
_space_group_IT_number 164
_space_group_name_Hall '-P 3 2"'
loop_
_atom_site_label
_atom_site_fract_x
_atom_site_fract_y
_atom_site_fract_z
Ba1 0.0000 0.0000 0.0000
Ba2 0.3333 0.6667 0.6918
La1 0.0000 0.0000 0.5000
W1 0.3333 0.6667 0.2179
N1 0.1731 0.3462 0.2858
# - ρ (Mg/m³) = 6.25
# - size of the total moment (μB/f.u.) = 0.000
# - energy relative to the elements, uncorrected (eV per atom) = -0.813